No. 1
VASP calculation (PBE-GGA) on an optimized crystal structure of AcAl4Zn2.

## Properties
**E**: -23.298 eV per cell
**Crystal system**: orthorhombic
**Space group**: Cmmm
**Calculated volume**: 19.93 Å³ per atom

Cell: 4.3143 4.3404 7.7604 Å, 106.24 90.00 90.00°
Element x y z (fractional)
Ac (0.0000, 0.0000, 0.0000)
Al (0.5000, 0.8138, 0.6275)
Al (0.0000, 0.6891, 0.3782)
Al (0.5000, 0.1862, 0.3725)
Al (0.0000, 0.3109, 0.6218)
Zn (0.5000, 0.5868, 0.1736)
Zn (0.5000, 0.4132, 0.8264)

No. 2
VASP calculation (PBE-GGA) on an optimized crystal structure of PrNd6Co2.

## Properties
**E**: -94.822 eV per cell
**Crystal system**: orthorhombic
**Space group**: Immm
**Calculated volume**: 29.40 Å³ per atom

Cell: 8.8365 8.8365 8.8365 Å, 109.33 106.08 113.09°
Each line ends with the local moment (μB).
Element x y z (fractional)
Pr (0.0000, 0.5000, 0.5000)  0.00
Pr (0.0000, 0.0000, 0.0000)  0.05
Nd (0.4954, 0.3024, 0.1929)  0.00
Nd (0.5046, 0.6976, 0.8071)  0.00
Nd (0.8905, 0.6976, 0.1929)  0.00
Nd (0.1095, 0.3024, 0.8071)  0.00
Nd (0.2268, 0.7858, 0.0126)  0.01
Nd (0.7732, 0.2142, 0.9874)  0.01
Nd (0.7732, 0.7858, 0.5590)  0.01
Nd (0.2268, 0.2142, 0.4410)  0.01
Nd (0.3038, 0.9988, 0.6951)  -0.02
Nd (0.6962, 0.0012, 0.3049)  -0.02
Nd (0.6962, 0.3913, 0.6951)  -0.02
Nd (0.3038, 0.6087, 0.3049)  -0.02
Co (0.5000, 0.3899, 0.8899)  0.33
Co (0.5000, 0.6101, 0.1101)  0.33
Co (0.3916, 0.0000, 0.3916)  -0.01
Co (0.6084, 0.0000, 0.6084)  -0.01

No. 3
VASP calculation (PBE-GGA) on an optimized crystal structure of Li2CaCdBi.

## Properties
**E**: -11.118 eV per cell
**Crystal system**: tetragonal
**Space group**: P4/mmm
**Calculated volume**: 29.46 Å³ per atom

Cell: 4.9867 4.9867 5.9229 Å, 90.00 90.00 90.00°
Element x y z (fractional)
Ca (0.5000, 0.5000, 0.5000)
Li (0.0000, 0.5000, 0.0000)
Li (0.5000, 0.0000, 0.0000)
Bi (0.0000, 0.0000, 0.5000)
Cd (0.0000, 0.0000, 0.0000)

No. 4
VASP calculation (PBE-GGA) on an optimized crystal structure of LaTb2HoTe6.

## Properties
**E**: -51.596 eV per cell
**Crystal system**: trigonal
**Space group**: R3
**Calculated volume**: 37.49 Å³ per atom

Cell: 7.8276 7.8280 8.3877 Å, 62.18 62.18 59.99°
Element x y z (fractional)
La (0.8173, 0.8174, 0.5480)
Tb (0.5115, 0.5115, 0.4656)
Tb (0.0083, 0.0083, 0.9751)
Ho (0.3222, 0.3222, 0.0332)
Te (0.6021, 0.2339, 0.2466)
Te (0.2339, 0.9173, 0.2466)
Te (0.9174, 0.6021, 0.2467)
Te (0.3959, 0.7292, 0.7511)
Te (0.7293, 0.1236, 0.7512)
Te (0.1237, 0.3960, 0.7512)

No. 5
VASP calculation (PBE-GGA) on an optimized crystal structure of Fe2AgHg.

## Properties
**E**: -18.289 eV per cell
**Crystal system**: monoclinic
**Space group**: P2/m
**Calculated volume**: 15.92 Å³ per atom

Cell: 3.9497 2.8464 6.3609 Å, 62.95 90.00 90.00°
Each line ends with the local moment (μB).
Element x y z (fractional)
Ag (0.5000, 0.7500, 0.7500)  -0.01
Fe (0.0000, 0.0189, 0.9812)  2.79
Fe (0.0000, 0.4811, 0.5188)  2.79
Hg (0.5000, 0.2500, 0.2500)  -0.07

No. 6
VASP calculation (PBE-GGA) on an optimized crystal structure of HoHfThMg.

## Properties
**E**: -22.984 eV per cell
**Crystal system**: cubic
**Space group**: F-43m
**Calculated volume**: 26.74 Å³ per atom

Cell: 5.3278 5.3278 5.3278 Å, 60.00 60.00 60.00°
Element x y z (fractional)
Mg (0.0000, 0.0000, 0.0000)
Hf (0.5000, 0.5000, 0.5000)
Ho (0.2500, 0.2500, 0.2500)
Th (0.7500, 0.7500, 0.7500)

No. 7
VASP calculation (PBE-GGA) on an optimized crystal structure of LiIrO.

## Properties
**E**: -71.702 eV per cell
**Crystal system**: monoclinic
**Space group**: P2_1/c
**Calculated volume**: 11.32 Å³ per atom

Cell: 5.0358 6.5476 4.2382 Å, 90.00 90.00 76.50°
Element x y z (fractional)
O (0.7041, 0.6499, 0.5824)
O (0.2041, 0.6499, 0.9176)
O (0.7959, 0.3501, 0.0824)
O (0.2959, 0.3501, 0.4176)
Li (0.9812, 0.5851, 0.2584)
Li (0.4812, 0.5851, 0.2416)
Li (0.5188, 0.4149, 0.7584)
Li (0.0188, 0.4149, 0.7416)
Ir (0.8757, 0.8921, 0.8245)
Ir (0.3757, 0.8921, 0.6755)
Ir (0.6243, 0.1079, 0.3245)
Ir (0.1243, 0.1079, 0.1755)

No. 8
VASP calculation (PBE-GGA) on an optimized crystal structure of NbHg2Pt.

## Properties
**ΔE to the lowest computed polymorph**: 0 meV/atom
**Crystal system**: cubic
**Space group**: Fm-3m
**Calculated volume**: 18.71 Å³ per atom

Cell: 4.7302 4.7302 4.7302 Å, 60.00 60.00 60.00°
Each line ends with the local moment (μB).
Element x y z (fractional)
Nb (0.0000, 0.0000, 0.0000)  0.36
Hg (0.2500, 0.2500, 0.2500)  0.01
Hg (0.7500, 0.7500, 0.7500)  0.01
Pt (0.5000, 0.5000, 0.5000)  0.04

No. 9
VASP calculation (PBE-GGA) on an optimized crystal structure of Tb5NdHo8.

## Properties
**E**: -61.111 eV per cell
**Crystal system**: tetragonal
**Space group**: I-4
**Calculated volume**: 32.65 Å³ per atom

Cell: 8.4144 8.4144 8.4144 Å, 111.42 105.64 111.42°
Element x y z (fractional)
Tb (0.0380, 0.3231, 0.1362)
Tb (0.8638, 0.9018, 0.1868)
Tb (0.8132, 0.6769, 0.7150)
Tb (0.5000, 0.0000, 0.5000)
Tb (0.2850, 0.0982, 0.9620)
Nd (0.2500, 0.5000, 0.7500)
Ho (0.1654, 0.7397, 0.0797)
Ho (0.9203, 0.0857, 0.6600)
Ho (0.7222, 0.2518, 0.3277)
Ho (0.6723, 0.3945, 0.9241)
Ho (0.5296, 0.6055, 0.2778)
Ho (0.5743, 0.9143, 0.8346)
Ho (0.3400, 0.2603, 0.4257)
Ho (0.0759, 0.7482, 0.4704)

No. 10
VASP calculation (PBE-GGA) on an optimized crystal structure of Ca3Tb2PrSe6.

## Properties
**E**: -63.620 eV per cell
**Crystal system**: monoclinic
**Space group**: C2/m
**Calculated volume**: 25.73 Å³ per atom

Cell: 7.1860 7.1860 7.3060 Å, 99.48 99.48 119.94°
Element x y z (fractional)
Ca (0.1641, 0.8359, 0.5000)
Ca (0.8359, 0.1641, 0.5000)
Ca (0.5000, 0.5000, 0.5000)
Tb (0.3326, 0.6674, 0.0000)
Tb (0.6674, 0.3326, 0.0000)
Pr (0.0000, 0.0000, 0.0000)
Se (0.9161, 0.5740, 0.7488)
Se (0.7411, 0.7411, 0.2501)
Se (0.0839, 0.4260, 0.2512)
Se (0.5740, 0.9161, 0.7488)
Se (0.2589, 0.2589, 0.7499)
Se (0.4260, 0.0839, 0.2512)

No. 11
VASP calculation (PBE-GGA) on an optimized crystal structure of LaDyHg5.

## Properties
**E**: -13.110 eV per cell
**Crystal system**: tetragonal
**Space group**: P4/mmm
**Calculated volume**: 27.78 Å³ per atom

Cell: 4.6592 4.6592 8.9578 Å, 90.00 90.00 90.00°
Element x y z (fractional)
La (0.0000, 0.0000, 0.0000)
Dy (0.5000, 0.5000, 0.5000)
Hg (0.5000, 0.0000, 0.2513)
Hg (0.0000, 0.5000, 0.2513)
Hg (0.0000, 0.0000, 0.5000)
Hg (0.0000, 0.5000, 0.7487)
Hg (0.5000, 0.0000, 0.7487)

No. 12
VASP calculation (PBE-GGA) on an optimized crystal structure of CeCd2Pd2.

## Properties
**ΔE to the lowest computed polymorph**: 17 meV/atom
**Crystal system**: monoclinic
**Space group**: C2/m
**Calculated volume**: 21.79 Å³ per atom

Cell: 4.0695 4.0695 7.2505 Å, 107.29 107.29 90.06°
Each line ends with the local moment (μB).
Element x y z (fractional)
Ce (0.0000, 0.0000, 0.0000)  0.79
Cd (0.2500, 0.7500, 0.5000)  0.00
Cd (0.7500, 0.2500, 0.5000)  0.00
Pd (0.5903, 0.5903, 0.1999)  -0.01
Pd (0.4097, 0.4097, 0.8001)  -0.01

Copy entry 1 word for word.
VASP calculation (PBE-GGA) on an optimized crystal structure of AcAl4Zn2.

## Properties
**E**: -23.298 eV per cell
**Crystal system**: orthorhombic
**Space group**: Cmmm
**Calculated volume**: 19.93 Å³ per atom

Cell: 4.3143 4.3404 7.7604 Å, 106.24 90.00 90.00°
Element x y z (fractional)
Ac (0.0000, 0.0000, 0.0000)
Al (0.5000, 0.8138, 0.6275)
Al (0.0000, 0.6891, 0.3782)
Al (0.5000, 0.1862, 0.3725)
Al (0.0000, 0.3109, 0.6218)
Zn (0.5000, 0.5868, 0.1736)
Zn (0.5000, 0.4132, 0.8264)

- calculated volume of number 3 (Li2CaCdBi)?
  29.46 Å³ per atom

- Which of these has the highest calculated volume?
  LaTb2HoTe6